Li2Mo2O7: relaxed, PBE with a Hubbard U.

Values from the calculation:
* DOS at the Fermi energy: 0.00 states/eV per cell
* V: 151 Å³/f.u.
* distance to the lowest polymorph of the same formula: 21.9 meV/atom
* magnetization: 0.000 μB per formula unit

Geometry as CIF:
```
data_Li2Mo2O7
_chemical_formula_sum 'Li4 Mo4 O14'
_symmetry_space_group_name_H-M 'C 1 2/m 1'
_symmetry_Int_Tables_number 12
_cell_length_a 6.644
_cell_length_b 8.743
_cell_length_c 5.376
_cell_angle_alpha 90.00
_cell_angle_beta 104.71
_cell_angle_gamma 90.00
loop_
_symmetry_equiv_pos_as_xyz
'x,y,z'
'-x,-y,-z'
'-x,y,-z'
'x,-y,z'
'x+1/2,y+1/2,z'
'-x+1/2,-y+1/2,-z'
'-x+1/2,y+1/2,-z'
'x+1/2,-y+1/2,z'
loop_
_atom_site_label
_atom_site_type_symbol
_atom_site_fract_x
_atom_site_fract_y
_atom_site_fract_z
Li1 Li 0.000 0.178 0.000
Mo1 Mo 0.249 0.500 0.388
O1 O 0.000 0.500 0.500
O2 O 0.057 0.000 0.289
O3 O 0.210 0.331 0.204
```